Entry 1:
An optimized crystal structure of La2PmCuSe5. Source: Alexandria, functional PBE.

Cell and atoms, written as POSCAR:
```
La2PmCuSe5
1.0
2.073 -8.798 0.000
2.073 8.798 0.000
0.000 0.000 12.615
La Pm Cu Se
4 2 2 10
Cartesian
2.073 6.807 6.307 La
2.073 6.741 10.692 La
2.073 -6.741 4.385 La
2.073 -6.807 0.000 La
2.073 5.663 2.249 Pm
2.073 -5.663 8.556 Pm
2.073 0.943 7.276 Cu
2.073 -0.943 0.968 Cu
2.073 8.529 2.116 Se
2.073 3.482 10.635 Se
2.073 3.308 6.453 Se
2.073 2.713 2.174 Se
2.073 0.083 11.391 Se
2.073 -0.083 5.083 Se
2.073 -2.713 8.482 Se
2.073 -3.308 0.145 Se
2.073 -3.482 4.327 Se
2.073 -8.529 8.423 Se
```

Summary:
Size of the total moment ... 0.00 μB per atom
Space group ... No. 36
Energy relative to the elements, uncorrected ... -1691 meV/atom
Fermi-level density of states ... 0.07 states/eV/atom

Entry 2:
An optimized crystal structure of Cu2SiTe. Source: Alexandria, functional PBE.

Cell and atoms, written as POSCAR:
```
Cu2SiTe
1.0
6.547 0.000 0.000
0.000 6.547 0.000
0.000 0.000 6.547
Cu Si Te
8 4 4
Cartesian
0.000 0.000 0.000 Cu
0.000 3.274 3.274 Cu
1.637 1.637 1.637 Cu
1.637 4.911 4.911 Cu
3.274 0.000 3.274 Cu
3.274 3.274 0.000 Cu
4.911 1.637 4.911 Cu
4.911 4.911 1.637 Cu
1.637 1.637 4.911 Si
1.637 4.911 1.637 Si
4.911 1.637 1.637 Si
4.911 4.911 4.911 Si
0.000 0.000 3.274 Te
0.000 3.274 0.000 Te
3.274 0.000 0.000 Te
3.274 3.274 3.274 Te
```

Summary:
Size of the total moment ... 0.00 μB per atom
Space group ... No. 216
Energy relative to the elements, uncorrected ... 561 meV/atom
Fermi-level density of states ... 0.39 states/eV/atom

Entry 3:
An optimized crystal structure of Pm2Cd7. Source: Alexandria, functional PBE.

Cell and atoms, written as POSCAR:
```
Pm2Cd7
1.0
5.103 0.000 0.000
-2.551 4.419 0.000
0.000 0.000 9.667
Pm Cd
2 7
Cartesian
0.000 2.946 2.736 Pm
2.551 1.473 6.932 Pm
0.000 0.000 1.486 Cd
0.000 0.000 4.834 Cd
0.000 0.000 8.181 Cd
0.000 2.946 5.856 Cd
0.000 2.946 8.989 Cd
2.551 1.473 0.678 Cd
2.551 1.473 3.811 Cd
```

Summary:
Size of the total moment ... 0.00 μB per atom
Space group ... No. 164
Fermi-level density of states ... 0.45 states/eV/atom
ΔH_f (0 K) ... -0.241 eV per atom

Entry 4:
An optimized crystal structure of La5N4F. Source: Alexandria, functional PBE.

Cell and atoms, written as POSCAR:
```
La5N4F
1.0
-1.858 2.646 9.425
1.858 -2.646 9.425
1.858 2.646 -9.425
La N F
5 4 1
Cartesian
0.000 0.000 0.000 La
0.000 0.000 3.765 La
0.000 0.000 7.345 La
0.000 0.000 11.505 La
0.000 0.000 15.085 La
1.858 0.000 1.801 N
1.858 0.000 5.751 N
0.000 2.646 3.674 N
0.000 2.646 7.625 N
0.000 2.646 0.000 F
```

Summary:
Size of the total moment ... 0.00 μB per atom
Space group ... No. 71
Energy relative to the elements, uncorrected ... -1661 meV/atom
Fermi-level density of states ... 0.25 states/eV/atom

Entry 5:
An optimized crystal structure of PmHoNiPb. Source: Alexandria, functional PBE.

Cell and atoms, written as POSCAR:
```
PmHoNiPb
1.0
7.370 0.000 0.000
0.000 7.370 0.000
0.000 0.000 7.370
Pm Ho Ni Pb
4 4 4 4
Cartesian
0.000 0.000 0.000 Pm
0.000 3.685 3.685 Pm
3.685 0.000 3.685 Pm
3.685 3.685 0.000 Pm
0.000 0.000 3.685 Ho
0.000 3.685 0.000 Ho
3.685 0.000 0.000 Ho
3.685 3.685 3.685 Ho
1.842 1.842 5.527 Ni
1.842 5.527 1.842 Ni
5.527 1.842 1.842 Ni
5.527 5.527 5.527 Ni
1.842 1.842 1.842 Pb
1.842 5.527 5.527 Pb
5.527 1.842 5.527 Pb
5.527 5.527 1.842 Pb
```

Summary:
Size of the total moment ... 0.00 μB per atom
Space group ... No. 216
Fermi-level density of states ... 0.49 states/eV/atom
ΔH_f (0 K) ... -0.282 eV per atom

Entry 6:
An optimized crystal structure of EuGdLuHg. Source: Alexandria, functional PBE.

Cell and atoms, written as POSCAR:
```
EuGdLuHg
1.0
7.799 0.000 0.000
0.000 7.799 0.000
0.000 0.000 7.799
Eu Gd Lu Hg
4 4 4 4
Cartesian
0.000 0.000 0.000 Eu
0.000 3.899 3.899 Eu
3.899 0.000 3.899 Eu
3.899 3.899 0.000 Eu
0.000 0.000 3.899 Gd
0.000 3.899 0.000 Gd
3.899 0.000 0.000 Gd
3.899 3.899 3.899 Gd
1.950 1.950 5.849 Lu
1.950 5.849 1.950 Lu
5.849 1.950 1.950 Lu
5.849 5.849 5.849 Lu
1.950 1.950 1.950 Hg
1.950 5.849 5.849 Hg
5.849 1.950 5.849 Hg
5.849 5.849 1.950 Hg
```

Summary:
Size of the total moment ... 0.02 μB per atom
Space group ... No. 216
Fermi-level density of states ... 0.86 states/eV/atom
ΔH_f (0 K) ... -0.058 eV per atom